Run i
Material: ReS2F
Method: DFT, GGA-PBE
State: optimized geometry

Geometry as CIF:
```
data_ReS2F
_space_group_name_H-M_alt 'P 1'
_space_group_IT_number 1
_cell_length_a 4.195
_cell_length_b 4.195
_cell_length_c 4.195
_cell_angle_alpha 60.00
_cell_angle_beta 60.00
_cell_angle_gamma 60.00
loop_
_space_group_symop_operation_xyz
'x,y,z'
loop_
_atom_site_label
_atom_site_fract_x
_atom_site_fract_y
_atom_site_fract_z
Re1 0.000 0.000 0.000
S1 0.250 0.250 0.250
S2 0.750 0.750 0.750
F1 0.500 0.500 0.500
```

Properties
Magnetization ... 1.73 μB/f.u.
SG ... Fm-3m
Density ... 8.6 Mg/m³



Run ii
Material: ReS2F
Method: DFT, GGA-PBE
State: optimized geometry

Geometry as CIF:
```
data_ReS2F
_space_group_name_H-M_alt 'P 1'
_space_group_IT_number 1
_cell_length_a 6.303
_cell_length_b 6.303
_cell_length_c 6.303
_cell_angle_alpha 124.87
_cell_angle_beta 124.87
_cell_angle_gamma 81.75
loop_
_space_group_symop_operation_xyz
'x,y,z'
loop_
_atom_site_label
_atom_site_fract_x
_atom_site_fract_y
_atom_site_fract_z
Re1 0.000 0.000 0.000
Re2 0.750 0.250 0.500
S1 0.074 0.625 0.949
S2 0.375 0.324 0.449
S3 0.676 0.125 0.051
S4 0.875 0.926 0.551
F1 0.250 0.750 0.500
F2 0.500 0.500 0.000
```

Properties
Magnetization ... 0.00 μB/f.u.
SG ... I-42d
Density ... 5.5 Mg/m³



The most stable of them is run ii.



Run i
Material: ReS2F
Method: DFT, GGA-PBE
State: optimized geometry

Geometry as CIF:
```
data_ReS2F
_space_group_name_H-M_alt 'P 1'
_space_group_IT_number 1
_cell_length_a 5.442
_cell_length_b 5.284
_cell_length_c 8.991
_cell_angle_alpha 90.00
_cell_angle_beta 90.00
_cell_angle_gamma 90.00
loop_
_space_group_symop_operation_xyz
'x,y,z'
loop_
_atom_site_label
_atom_site_fract_x
_atom_site_fract_y
_atom_site_fract_z
Re1 0.250 0.000 0.057
Re2 0.250 0.500 0.443
Re3 0.750 0.000 0.943
Re4 0.750 0.500 0.557
S1 0.081 0.224 0.600
S2 0.081 0.276 0.900
S3 0.419 0.724 0.900
S4 0.419 0.776 0.600
S5 0.581 0.224 0.400
S6 0.581 0.276 0.100
S7 0.919 0.724 0.100
S8 0.919 0.776 0.400
F1 0.114 0.250 0.250
F2 0.386 0.750 0.250
F3 0.614 0.250 0.750
F4 0.886 0.750 0.750
```

Properties
Magnetization ... 0.00 μB/f.u.
SG ... Pnna
Density ... 6.9 Mg/m³



Run ii
Material: ReS2F
Method: DFT, GGA-PBE
State: optimized geometry

Geometry as CIF:
```
data_ReS2F
_space_group_name_H-M_alt 'P 1'
_space_group_IT_number 1
_cell_length_a 7.665
_cell_length_b 7.665
_cell_length_c 7.665
_cell_angle_alpha 23.76
_cell_angle_beta 23.76
_cell_angle_gamma 23.76
loop_
_space_group_symop_operation_xyz
'x,y,z'
loop_
_atom_site_label
_atom_site_fract_x
_atom_site_fract_y
_atom_site_fract_z
Re1 0.000 0.000 0.000
S1 0.404 0.404 0.404
S2 0.596 0.596 0.596
F1 0.500 0.500 0.500
```

Properties
Magnetization ... 0.00 μB/f.u.
SG ... R-3m
Density ... 7.0 Mg/m³



The most stable of them is run i.



Run i
Material: ReS3F
Method: DFT, GGA-PBE
State: optimized geometry

Geometry as CIF:
```
data_ReS3F
_space_group_name_H-M_alt 'P 1'
_space_group_IT_number 1
_cell_length_a 4.209
_cell_length_b 4.209
_cell_length_c 4.209
_cell_angle_alpha 90.00
_cell_angle_beta 90.00
_cell_angle_gamma 90.00
loop_
_space_group_symop_operation_xyz
'x,y,z'
loop_
_atom_site_label
_atom_site_fract_x
_atom_site_fract_y
_atom_site_fract_z
Re1 0.000 0.000 0.000
S1 0.000 0.500 0.500
S2 0.500 0.000 0.500
S3 0.500 0.500 0.000
F1 0.500 0.500 0.500
```

Properties
Magnetization ... 0.00 μB/f.u.
SG ... Pm-3m
Density ... 6.7 Mg/m³



Run ii
Material: ReS3F
Method: DFT, GGA-PBE
State: optimized geometry

Geometry as CIF:
```
data_ReS3F
_space_group_name_H-M_alt 'P 1'
_space_group_IT_number 1
_cell_length_a 4.547
_cell_length_b 4.547
_cell_length_c 4.547
_cell_angle_alpha 90.00
_cell_angle_beta 90.00
_cell_angle_gamma 90.00
loop_
_space_group_symop_operation_xyz
'x,y,z'
loop_
_atom_site_label
_atom_site_fract_x
_atom_site_fract_y
_atom_site_fract_z
Re1 0.000 0.000 0.000
S1 0.000 0.000 0.500
S2 0.000 0.500 0.000
S3 0.500 0.000 0.000
F1 0.500 0.500 0.500
```

Properties
Magnetization ... 0.00 μB/f.u.
SG ... Pm-3m
Density ... 5.3 Mg/m³



The most stable of them is run ii.



Run i
Material: Re2SbF
Method: DFT, GGA-PBE
State: optimized geometry

Geometry as CIF:
```
data_Re2SbF
_space_group_name_H-M_alt 'P 1'
_space_group_IT_number 1
_cell_length_a 5.548
_cell_length_b 5.548
_cell_length_c 5.548
_cell_angle_alpha 102.74
_cell_angle_beta 102.74
_cell_angle_gamma 123.99
loop_
_space_group_symop_operation_xyz
'x,y,z'
loop_
_atom_site_label
_atom_site_fract_x
_atom_site_fract_y
_atom_site_fract_z
Re1 0.058 0.625 0.933
Re2 0.375 0.308 0.433
Re3 0.692 0.125 0.067
Re4 0.875 0.942 0.567
Sb1 0.250 0.750 0.500
Sb2 0.500 0.500 0.000
F1 0.000 0.000 0.000
F2 0.750 0.250 0.500
```

Properties
Magnetization ... 0.00 μB/f.u.
SG ... I-42d
Density ... 13.6 Mg/m³



Run ii
Material: Re2SbF
Method: DFT, GGA-PBE
State: optimized geometry

Geometry as CIF:
```
data_Re2SbF
_space_group_name_H-M_alt 'P 1'
_space_group_IT_number 1
_cell_length_a 4.440
_cell_length_b 4.440
_cell_length_c 4.440
_cell_angle_alpha 60.00
_cell_angle_beta 60.00
_cell_angle_gamma 60.00
loop_
_space_group_symop_operation_xyz
'x,y,z'
loop_
_atom_site_label
_atom_site_fract_x
_atom_site_fract_y
_atom_site_fract_z
Re1 0.250 0.250 0.250
Re2 0.750 0.750 0.750
Sb1 0.000 0.000 0.000
F1 0.500 0.500 0.500
```

Properties
Magnetization ... 0.00 μB/f.u.
SG ... Fm-3m
Density ... 13.8 Mg/m³



The most stable of them is run ii.



Run i
Material: ReSb2F
Method: DFT, GGA-PBE
State: optimized geometry

Geometry as CIF:
```
data_ReSb2F
_space_group_name_H-M_alt 'P 1'
_space_group_IT_number 1
_cell_length_a 7.382
_cell_length_b 7.382
_cell_length_c 7.382
_cell_angle_alpha 133.68
_cell_angle_beta 133.68
_cell_angle_gamma 67.59
loop_
_space_group_symop_operation_xyz
'x,y,z'
loop_
_atom_site_label
_atom_site_fract_x
_atom_site_fract_y
_atom_site_fract_z
Re1 0.000 0.000 0.000
Re2 0.750 0.250 0.500
Sb1 0.119 0.625 0.994
Sb2 0.375 0.369 0.494
Sb3 0.631 0.125 0.006
Sb4 0.875 0.881 0.506
F1 0.250 0.750 0.500
F2 0.500 0.500 0.000
```

Properties
Magnetization ... 0.00 μB/f.u.
SG ... I-42d
Density ... 7.2 Mg/m³



Run ii
Material: ReSb2F
Method: DFT, GGA-PBE
State: optimized geometry

Geometry as CIF:
```
data_ReSb2F
_space_group_name_H-M_alt 'P 1'
_space_group_IT_number 1
_cell_length_a 4.669
_cell_length_b 4.669
_cell_length_c 4.669
_cell_angle_alpha 60.00
_cell_angle_beta 60.00
_cell_angle_gamma 60.00
loop_
_space_group_symop_operation_xyz
'x,y,z'
loop_
_atom_site_label
_atom_site_fract_x
_atom_site_fract_y
_atom_site_fract_z
Re1 0.000 0.000 0.000
Sb1 0.250 0.250 0.250
Sb2 0.750 0.750 0.750
F1 0.500 0.500 0.500
```

Properties
Magnetization ... 1.58 μB/f.u.
SG ... Fm-3m
Density ... 10.4 Mg/m³



The most stable of them is run ii.



Run i
Material: ReSb2TeF
Method: DFT, GGA-PBE
State: optimized geometry

Geometry as CIF:
```
data_ReSb2TeF
_space_group_name_H-M_alt 'P 1'
_space_group_IT_number 1
_cell_length_a 4.622
_cell_length_b 4.622
_cell_length_c 5.166
_cell_angle_alpha 90.00
_cell_angle_beta 90.00
_cell_angle_gamma 90.00
loop_
_space_group_symop_operation_xyz
'x,y,z'
loop_
_atom_site_label
_atom_site_fract_x
_atom_site_fract_y
_atom_site_fract_z
Re1 0.000 0.000 0.000
Sb1 0.000 0.500 0.500
Sb2 0.500 0.000 0.500
Te1 0.500 0.500 0.000
F1 0.500 0.500 0.500
```

Properties
Magnetization ... 1.76 μB/f.u.
SG ... P4/mmm
Density ... 8.7 Mg/m³



Run ii
Material: ReSb2TeF
Method: DFT, GGA-PBE
State: optimized geometry

Geometry as CIF:
```
data_ReSb2TeF
_space_group_name_H-M_alt 'P 1'
_space_group_IT_number 1
_cell_length_a 5.185
_cell_length_b 5.185
_cell_length_c 5.194
_cell_angle_alpha 90.00
_cell_angle_beta 90.00
_cell_angle_gamma 90.00
loop_
_space_group_symop_operation_xyz
'x,y,z'
loop_
_atom_site_label
_atom_site_fract_x
_atom_site_fract_y
_atom_site_fract_z
Re1 0.000 0.000 0.000
Sb1 0.000 0.500 0.000
Sb2 0.500 0.000 0.000
Te1 0.000 0.000 0.500
F1 0.500 0.500 0.500
```

Properties
Magnetization ... 0.00 μB/f.u.
SG ... P4/mmm
Density ... 6.9 Mg/m³



The most stable of them is run ii.



Run i
Material: Sc2ReF
Method: DFT, GGA-PBE
State: optimized geometry

Geometry as CIF:
```
data_Sc2ReF
_space_group_name_H-M_alt 'P 1'
_space_group_IT_number 1
_cell_length_a 9.046
_cell_length_b 9.046
_cell_length_c 9.046
_cell_angle_alpha 18.23
_cell_angle_beta 18.23
_cell_angle_gamma 18.23
loop_
_space_group_symop_operation_xyz
'x,y,z'
loop_
_atom_site_label
_atom_site_fract_x
_atom_site_fract_y
_atom_site_fract_z
Sc1 0.099 0.099 0.099
Sc2 0.901 0.901 0.901
Re1 0.000 0.000 0.000
F1 0.500 0.500 0.500
```

Properties
Magnetization ... 0.00 μB/f.u.
SG ... R-3m
Density ... 7.7 Mg/m³



Run ii
Material: Sc2ReF
Method: DFT, GGA-PBE
State: optimized geometry

Geometry as CIF:
```
data_Sc2ReF
_space_group_name_H-M_alt 'P 1'
_space_group_IT_number 1
_cell_length_a 8.231
_cell_length_b 8.231
_cell_length_c 8.231
_cell_angle_alpha 23.01
_cell_angle_beta 23.01
_cell_angle_gamma 23.01
loop_
_space_group_symop_operation_xyz
'x,y,z'
loop_
_atom_site_label
_atom_site_fract_x
_atom_site_fract_y
_atom_site_fract_z
Sc1 0.086 0.086 0.086
Sc2 0.914 0.914 0.914
Re1 0.500 0.500 0.500
F1 0.000 0.000 0.000
```

Properties
Magnetization ... 0.00 μB/f.u.
SG ... R-3m
Density ... 6.6 Mg/m³



The most stable of them is run ii.



Run i
Material: ScReF2
Method: DFT, GGA-PBE
State: optimized geometry

Geometry as CIF:
```
data_ScReF2
_space_group_name_H-M_alt 'P 1'
_space_group_IT_number 1
_cell_length_a 4.253
_cell_length_b 4.253
_cell_length_c 4.253
_cell_angle_alpha 60.00
_cell_angle_beta 60.00
_cell_angle_gamma 60.00
loop_
_space_group_symop_operation_xyz
'x,y,z'
loop_
_atom_site_label
_atom_site_fract_x
_atom_site_fract_y
_atom_site_fract_z
Sc1 0.000 0.000 0.000
Re1 0.500 0.500 0.500
F1 0.250 0.250 0.250
F2 0.750 0.750 0.750
```

Properties
Magnetization ... 0.00 μB/f.u.
SG ... Fm-3m
Density ... 8.2 Mg/m³



Run ii
Material: ScReF2
Method: DFT, GGA-PBE
State: optimized geometry

Geometry as CIF:
```
data_ScReF2
_space_group_name_H-M_alt 'P 1'
_space_group_IT_number 1
_cell_length_a 7.688
_cell_length_b 7.688
_cell_length_c 7.688
_cell_angle_alpha 20.90
_cell_angle_beta 20.90
_cell_angle_gamma 20.90
loop_
_space_group_symop_operation_xyz
'x,y,z'
loop_
_atom_site_label
_atom_site_fract_x
_atom_site_fract_y
_atom_site_fract_z
Sc1 0.000 0.000 0.000
Re1 0.500 0.500 0.500
F1 0.404 0.404 0.404
F2 0.596 0.596 0.596
```

Properties
Magnetization ... 0.00 μB/f.u.
SG ... R-3m
Density ... 8.8 Mg/m³



Run iii
Material: ScReF2
Method: DFT, GGA-PBE
State: optimized geometry

Geometry as CIF:
```
data_ScReF2
_space_group_name_H-M_alt 'P 1'
_space_group_IT_number 1
_cell_length_a 9.151
_cell_length_b 9.151
_cell_length_c 9.151
_cell_angle_alpha 17.87
_cell_angle_beta 17.87
_cell_angle_gamma 17.87
loop_
_space_group_symop_operation_xyz
'x,y,z'
loop_
_atom_site_label
_atom_site_fract_x
_atom_site_fract_y
_atom_site_fract_z
Sc1 0.000 0.000 0.000
Re1 0.500 0.500 0.500
F1 0.071 0.071 0.071
F2 0.929 0.929 0.929
```

Properties
Magnetization ... 1.22 μB/f.u.
SG ... R-3m
Density ... 7.1 Mg/m³



Run iv
Material: ScReF2
Method: DFT, GGA-PBE
State: optimized geometry

Geometry as CIF:
```
data_ScReF2
_space_group_name_H-M_alt 'P 1'
_space_group_IT_number 1
_cell_length_a 6.589
_cell_length_b 6.589
_cell_length_c 6.589
_cell_angle_alpha 139.43
_cell_angle_beta 139.43
_cell_angle_gamma 58.72
loop_
_space_group_symop_operation_xyz
'x,y,z'
loop_
_atom_site_label
_atom_site_fract_x
_atom_site_fract_y
_atom_site_fract_z
Sc1 0.000 0.000 0.000
Sc2 0.750 0.250 0.500
Re1 0.250 0.750 0.500
Re2 0.500 0.500 0.000
F1 0.056 0.625 0.931
F2 0.375 0.306 0.431
F3 0.694 0.125 0.069
F4 0.875 0.944 0.569
```

Properties
Magnetization ... 0.00 μB/f.u.
SG ... I-42d
Density ... 7.5 Mg/m³



The most stable of them is run ii.